1.
Computed, not measured: a geometry-optimized BaRePt structure at the PBE level of DFT.

Output
* density of states at the Fermi level: 5.19 states/eV/cell
* symmetry: No. 187

Unit cell a=5.028 b=5.028 c=2.999 alpha=90.00 beta=90.00 gamma=120.00
Sites, in units of the cell vectors:
Ba1 0.000 0.000 0.000
Re1 0.333 0.667 0.500
Pt1 0.667 0.333 0.500



2.
Computed, not measured: a geometry-optimized BaRePt2 structure at the PBE level of DFT.

Output
* density of states at the Fermi level: 3.09 states/eV/cell
* symmetry: No. 6

Unit cell a=2.921 b=4.451 c=6.755 alpha=90.00 beta=99.15 gamma=90.00
Sites, in units of the cell vectors:
Ba1 0.000 0.000 0.000
Re1 0.226 0.500 0.610
Pt1 0.604 0.500 0.272
Pt2 0.644 0.000 0.520



no.,uncorrected energy (eV/atom)
1,-5.845
2,-6.339